No. 1
# SmYB2Ir2C2, optimized geometry, DFT PBE
# Electronic total energy (hartree per atom): -0.2958
# Crystal system: tetragonal
# Space-group type: No. 99
# Total magnetization (μB/cell): 0.0
data_SmYB2Ir2C2
_chemical_formula_sum 'Sm1 Y1 B2 Ir2 C2'
_space_group_name_H-M_alt 'P 1'
_space_group_IT_number 1
_cell_length_a 3.761
_cell_length_b 3.761
_cell_length_c 7.827
_cell_angle_alpha 90.00
_cell_angle_beta 90.00
_cell_angle_gamma 90.00
loop_
_space_group_symop_operation_xyz
'x,y,z'
loop_
_atom_site_label
_atom_site_fract_x
_atom_site_fract_y
_atom_site_fract_z
B1 0.500 0.500 0.342
B2 0.000 0.000 0.656
C1 0.500 0.500 0.148
C2 0.000 0.000 0.849
Ir1 0.500 0.000 0.501
Ir2 0.000 0.500 0.501
Sm1 0.000 0.000 0.164
Y1 0.500 0.500 0.839

No. 2
# CuAg3, optimized geometry, DFT PBE
# Crystal system: orthorhombic
# ΔH_f (0 K) (eV/atom): 0.062
# Space-group type: No. 59
data_CuAg3
_chemical_formula_sum 'Cu2 Ag6'
_space_group_name_H-M_alt 'P 1'
_space_group_IT_number 1
_cell_length_a 2.871
_cell_length_b 3.968
_cell_length_c 11.523
_cell_angle_alpha 90.00
_cell_angle_beta 90.00
_cell_angle_gamma 90.00
loop_
_space_group_symop_operation_xyz
'x,y,z'
loop_
_atom_site_label
_atom_site_fract_x
_atom_site_fract_y
_atom_site_fract_z
Ag1 0.000 0.000 0.066
Ag2 0.500 0.500 0.198
Ag3 0.000 0.000 0.330
Ag4 0.500 0.500 0.670
Ag5 0.000 0.000 0.802
Ag6 0.500 0.500 0.934
Cu1 0.500 0.500 0.444
Cu2 0.000 0.000 0.556

No. 3
# NdY2In3Cu3, optimized geometry, DFT PBE
# Electronic total energy (hartree per atom): -0.1665
# Crystal system: orthorhombic
# Space-group type: No. 38
# Total magnetization (μB/cell): 0.0
data_NdY2In3Cu3
_chemical_formula_sum 'Nd1 Y2 In3 Cu3'
_space_group_name_H-M_alt 'P 1'
_space_group_IT_number 1
_cell_length_a 3.948
_cell_length_b 7.554
_cell_length_c 7.554
_cell_angle_alpha 119.84
_cell_angle_beta 90.00
_cell_angle_gamma 90.00
loop_
_space_group_symop_operation_xyz
'x,y,z'
loop_
_atom_site_label
_atom_site_fract_x
_atom_site_fract_y
_atom_site_fract_z
Cu1 0.500 0.670 0.331
Cu2 0.500 0.331 0.670
Cu3 0.000 0.998 0.998
In1 0.500 0.997 0.253
In2 0.500 0.748 0.748
In3 0.500 0.253 0.997
Nd1 0.000 0.412 0.412
Y1 0.000 0.591 0.001
Y2 0.000 0.001 0.591

No. 4
# RbIr2O6, optimized geometry, DFT PBE
# Crystal system: trigonal
# Space-group type: No. 162
# Total magnetization (μB/cell): 1.0
# Excess energy over the best structure of this formula in the dataset (eV per formula unit): 0.05
data_RbIr2O6
_chemical_formula_sum 'Rb1 Ir2 O6'
_space_group_name_H-M_alt 'P 1'
_space_group_IT_number 1
_cell_length_a 5.309
_cell_length_b 5.309
_cell_length_c 5.803
_cell_angle_alpha 90.00
_cell_angle_beta 90.00
_cell_angle_gamma 120.00
loop_
_space_group_symop_operation_xyz
'x,y,z'
loop_
_atom_site_label
_atom_site_fract_x
_atom_site_fract_y
_atom_site_fract_z
Ir1 0.667 0.333 0.500
Ir2 0.333 0.667 0.500
O1 0.610 0.000 0.319
O2 0.390 0.390 0.319
O3 0.000 0.610 0.319
O4 0.390 0.000 0.681
O5 0.000 0.390 0.681
O6 0.610 0.610 0.681
Rb1 0.000 0.000 0.000

No. 5
# BaNaCdAu2, optimized geometry, DFT PBE
# Electronic total energy (hartree per atom): -0.0972
# Crystal system: tetragonal
# Space-group type: No. 119
data_BaNaCdAu2
_chemical_formula_sum 'Ba1 Na1 Cd1 Au2'
_space_group_name_H-M_alt 'P 1'
_space_group_IT_number 1
_cell_length_a 7.295
_cell_length_b 7.295
_cell_length_c 7.295
_cell_angle_alpha 143.71
_cell_angle_beta 143.71
_cell_angle_gamma 52.26
loop_
_space_group_symop_operation_xyz
'x,y,z'
loop_
_atom_site_label
_atom_site_fract_x
_atom_site_fract_y
_atom_site_fract_z
Au1 0.393 0.393 0.000
Au2 0.607 0.607 0.000
Ba1 0.000 0.000 0.000
Cd1 0.250 0.750 0.500
Na1 0.750 0.250 0.500

No. 6
# CsReAgS3, optimized geometry, DFT PBE
# Crystal system: orthorhombic
# Space-group type: No. 63
# Total magnetization (μB/cell): 5.2
# Excess energy over the best structure of this formula in the dataset (eV per formula unit): 0.84
data_CsReAgS3
_chemical_formula_sum 'Cs2 Re2 Ag2 S6'
_space_group_name_H-M_alt 'P 1'
_space_group_IT_number 1
_cell_length_a 8.096
_cell_length_b 8.096
_cell_length_c 9.849
_cell_angle_alpha 90.00
_cell_angle_beta 90.00
_cell_angle_gamma 26.84
loop_
_space_group_symop_operation_xyz
'x,y,z'
loop_
_atom_site_label
_atom_site_fract_x
_atom_site_fract_y
_atom_site_fract_z
Ag1 0.451 0.451 0.250
Ag2 0.549 0.549 0.750
Cs1 0.750 0.750 0.250
Cs2 0.250 0.250 0.750
Re1 0.000 0.000 0.000
Re2 0.000 0.000 0.500
S1 0.396 0.396 0.020
S2 0.058 0.058 0.250
S3 0.396 0.396 0.480
S4 0.604 0.604 0.520
S5 0.942 0.942 0.750
S6 0.604 0.604 0.980

No. 7
# SmTmZnCo2, optimized geometry, DFT PBE
# Crystal system: orthorhombic
# ΔH_f (0 K) (eV/atom): -0.275
# Space-group type: No. 44
# Total magnetization (μB/cell): 0.0
data_SmTmZnCo2
_chemical_formula_sum 'Sm1 Tm1 Zn1 Co2'
_space_group_name_H-M_alt 'P 1'
_space_group_IT_number 1
_cell_length_a 5.340
_cell_length_b 5.340
_cell_length_c 5.340
_cell_angle_alpha 134.95
_cell_angle_beta 118.37
_cell_angle_gamma 79.54
loop_
_space_group_symop_operation_xyz
'x,y,z'
loop_
_atom_site_label
_atom_site_fract_x
_atom_site_fract_y
_atom_site_fract_z
Co1 0.787 0.498 0.290
Co2 0.208 0.498 0.710
Sm1 0.210 0.210 0.000
Tm1 0.792 0.792 0.000
Zn1 0.503 0.003 0.500

No. 8
# Hf2Co2BiSb, optimized geometry, DFT PBE
# Electronic total energy (hartree per atom): -0.2627
# Crystal system: monoclinic
# Space-group type: No. 6
# Total magnetization (μB/cell): 0.4
data_Hf2Co2BiSb
_chemical_formula_sum 'Hf8 Co8 Bi4 Sb4'
_space_group_name_H-M_alt 'P 1'
_space_group_IT_number 1
_cell_length_a 11.063
_cell_length_b 3.933
_cell_length_c 11.335
_cell_angle_alpha 90.00
_cell_angle_beta 91.56
_cell_angle_gamma 90.00
loop_
_space_group_symop_operation_xyz
'x,y,z'
loop_
_atom_site_label
_atom_site_fract_x
_atom_site_fract_y
_atom_site_fract_z
Bi1 0.796 0.000 0.148
Bi2 0.211 0.000 0.416
Bi3 0.092 0.500 0.753
Bi4 0.820 0.000 0.762
Co1 0.982 0.500 0.094
Co2 0.358 0.000 0.225
Co3 0.345 0.500 0.387
Co4 0.103 0.500 0.521
Co5 0.727 0.000 0.537
Co6 0.265 0.000 0.768
Co7 0.371 0.500 0.865
Co8 0.688 0.000 0.941
Hf1 0.205 0.500 0.164
Hf2 0.741 0.500 0.392
Hf3 0.494 0.000 0.444
Hf4 0.953 0.000 0.527
Hf5 0.332 0.500 0.630
Hf6 0.510 0.000 0.787
Hf7 0.032 0.000 0.967
Hf8 0.563 0.500 0.998
Sb1 0.514 0.500 0.245
Sb2 0.984 0.500 0.320
Sb3 0.599 0.500 0.614
Sb4 0.315 0.000 0.998

No. 9
# GdSiPt2, optimized geometry, DFT PBE
# Electronic total energy (hartree per atom): -0.2387
# Crystal system: orthorhombic
# Space-group type: No. 31
# Total magnetization (μB/cell): 0.0
data_GdSiPt2
_chemical_formula_sum 'Gd2 Si2 Pt4'
_space_group_name_H-M_alt 'P 1'
_space_group_IT_number 1
_cell_length_a 4.033
_cell_length_b 6.625
_cell_length_c 5.606
_cell_angle_alpha 90.00
_cell_angle_beta 90.00
_cell_angle_gamma 90.00
loop_
_space_group_symop_operation_xyz
'x,y,z'
loop_
_atom_site_label
_atom_site_fract_x
_atom_site_fract_y
_atom_site_fract_z
Gd1 0.000 0.078 0.132
Gd2 0.500 0.922 0.632
Pt1 0.500 0.737 0.157
Pt2 0.500 0.344 0.332
Pt3 0.000 0.263 0.657
Pt4 0.000 0.656 0.832
Si1 0.000 0.607 0.378
Si2 0.500 0.393 0.878

No. 10
# SbAu17, optimized geometry, DFT PBE
# Crystal system: trigonal
# Space-group type: No. 164
# Excess energy over the best structure of this formula in the dataset (eV per formula unit): 0.60
data_SbAu17
_chemical_formula_sum 'Sb2 Au34'
_space_group_name_H-M_alt 'P 1'
_space_group_IT_number 1
_cell_length_a 5.784
_cell_length_b 5.784
_cell_length_c 32.504
_cell_angle_alpha 90.00
_cell_angle_beta 90.00
_cell_angle_gamma 120.00
loop_
_space_group_symop_operation_xyz
'x,y,z'
loop_
_atom_site_label
_atom_site_fract_x
_atom_site_fract_y
_atom_site_fract_z
Au1 0.166 0.333 0.195
Au2 0.166 0.834 0.195
Au3 0.667 0.834 0.195
Au4 0.501 0.003 0.273
Au5 0.501 0.499 0.273
Au6 0.997 0.499 0.273
Au7 0.000 0.000 0.273
Au8 0.333 0.667 0.348
Au9 0.333 0.166 0.349
Au10 0.834 0.166 0.349
Au11 0.834 0.667 0.349
Au12 0.167 0.334 0.424
Au13 0.167 0.833 0.424
Au14 0.666 0.833 0.424
Au15 0.667 0.333 0.425
Au16 0.000 0.000 0.500
Au17 0.500 0.000 0.500
Au18 0.000 0.500 0.500
Au19 0.500 0.500 0.500
Au20 0.333 0.667 0.575
Au21 0.334 0.167 0.576
Au22 0.833 0.167 0.576
Au23 0.833 0.666 0.576
Au24 0.166 0.333 0.651
Au25 0.166 0.834 0.651
Au26 0.667 0.834 0.651
Au27 0.667 0.333 0.652
Au28 0.000 0.000 0.727
Au29 0.003 0.501 0.727
Au30 0.499 0.501 0.727
Au31 0.499 0.997 0.727
Au32 0.333 0.166 0.805
Au33 0.834 0.166 0.805
Au34 0.834 0.667 0.805
Sb1 0.667 0.333 0.189
Sb2 0.333 0.667 0.811

No. 11
# NiBr, optimized geometry, DFT PBE
# Electronic total energy (hartree per atom): -0.1202
# Crystal system: hexagonal
# Space-group type: No. 187
# Total magnetization (μB/cell): 1.0
data_NiBr
_chemical_formula_sum 'Ni1 Br1'
_space_group_name_H-M_alt 'P 1'
_space_group_IT_number 1
_cell_length_a 3.496
_cell_length_b 3.496
_cell_length_c 3.399
_cell_angle_alpha 90.00
_cell_angle_beta 90.00
_cell_angle_gamma 120.00
loop_
_space_group_symop_operation_xyz
'x,y,z'
loop_
_atom_site_label
_atom_site_fract_x
_atom_site_fract_y
_atom_site_fract_z
Br1 0.667 0.333 0.750
Ni1 0.333 0.667 0.250

No. 12
# BaTmAgTe2S, optimized geometry, DFT PBE
# Crystal system: orthorhombic
# Space-group type: No. 63
# Total magnetization (μB/cell): 0.0
# Excess energy over the best structure of this formula in the dataset (eV per formula unit): 0.00
data_BaTmAgTe2S
_chemical_formula_sum 'Ba2 Tm2 Ag2 Te4 S2'
_space_group_name_H-M_alt 'P 1'
_space_group_IT_number 1
_cell_length_a 7.782
_cell_length_b 7.782
_cell_length_c 10.742
_cell_angle_alpha 90.00
_cell_angle_beta 90.00
_cell_angle_gamma 147.26
loop_
_space_group_symop_operation_xyz
'x,y,z'
loop_
_atom_site_label
_atom_site_fract_x
_atom_site_fract_y
_atom_site_fract_z
Ag1 0.522 0.478 0.250
Ag2 0.478 0.522 0.750
Ba1 0.270 0.730 0.250
Ba2 0.730 0.270 0.750
S1 0.932 0.068 0.250
S2 0.068 0.932 0.750
Te1 0.640 0.360 0.050
Te2 0.640 0.360 0.450
Te3 0.360 0.640 0.550
Te4 0.360 0.640 0.950
Tm1 0.000 0.000 0.000
Tm2 0.000 0.000 0.500